Tl2ZnTeO6 (PBE, relaxed); E = -4.713 eV per atom; V = 138.88 Å³/f.u.; symmetry = No. 146; ΔE_f (raw) = -0.82 eV/atom
1.0
-3.784 -3.528 -2.454
1.758 -3.867 -3.841
0.027 -5.713 1.491
O Tl Te Zn
6 2 1 1
Cartesian
0.918 -5.775 -3.639
-2.426 -7.169 -4.249
-0.422 -8.584 -2.555
0.375 -6.466 -0.794
-1.988 -4.424 -1.848
-2.383 -7.237 -0.956
-1.080 -6.186 -2.808
-0.036 -5.418 1.164
-0.637 -2.634 -1.912
-1.629 -9.233 -4.266